No. 1
Below is an optimized crystal structure of Cs2ScMoI6, with properties calculated at the PBE level.

a b c (Å): 11.941 11.941 11.941
angles (deg): 90.00 90.00 90.00
Space group Fm-3m (No. 225)
Asymmetric unit:
Cs  0.250  0.250  0.250
Sc  0.000  0.000  0.000
Mo  0.000  0.000  0.500
I  0.000  0.000  0.246

Results
Total DFT energy (no corrections) (eV per atom): -3.655
V (Å³/f.u.): 425.7
N(E_F) (states/eV/f.u.): 0.05



No. 2
Below is an optimized crystal structure of RuWSCl2, with properties calculated at the PBE level.

a b c (Å): 4.652 4.652 4.793
angles (deg): 90.00 90.00 90.00
Space group P4/mmm (No. 123)
Asymmetric unit:
Ru  0.000  0.000  0.000
W  0.500  0.500  0.500
S  0.000  0.000  0.500
Cl  0.000  0.500  0.000

Results
Total DFT energy (no corrections) (eV per atom): -4.889
V (Å³/f.u.): 103.7
N(E_F) (states/eV/f.u.): 5.48